1.
The following is a GGA-PBE calculation of crystalline Ti2VNi at its relaxed geometry, from Alexandria via LeMat-Bulk.

a b c (Å): 6.768 6.768 5.265
angles (deg): 90.00 90.00 90.00
Element x y z (fractional)
Ti1 0.226 0.250 0.125
Ti2 0.250 0.726 0.375
Ti3 0.250 0.774 0.875
Ti4 0.274 0.250 0.625
Ti5 0.726 0.750 0.625
Ti6 0.750 0.226 0.875
Ti7 0.750 0.274 0.375
Ti8 0.774 0.750 0.125
V1 0.000 0.000 0.500
V2 0.000 0.500 0.750
V3 0.500 0.000 0.250
V4 0.500 0.500 0.000
Ni1 0.000 0.000 0.000
Ni2 0.000 0.500 0.250
Ni3 0.500 0.000 0.750
Ni4 0.500 0.500 0.500

volume: 241.2 Å³/cell
N(E_F): 6.8 states/eV/f.u.
DFT formation energy: 220 meV per atom
magnetization: 0.454 μB per cell
offset from the most stable computed form: 419 meV/atom
crystal system: tetragonal


2.
The following is a GGA-PBE calculation of crystalline Na4SrTl at its relaxed geometry, from Alexandria via LeMat-Bulk.

a b c (Å): 6.640 6.640 6.640
angles (deg): 60.00 60.00 60.00
Element x y z (fractional)
Na1 0.124 0.124 0.124
Na2 0.124 0.124 0.628
Na3 0.124 0.628 0.124
Na4 0.628 0.124 0.124
Sr1 0.500 0.500 0.500
Tl1 0.750 0.750 0.750

volume: 207.0 Å³/cell
N(E_F): 6.2 states/eV/f.u.
DFT formation energy: -1 meV per atom
magnetization: 0.000 μB per cell
crystal system: cubic


3.
The following is a GGA-PBE calculation of crystalline Na3TeBr at its relaxed geometry, from Alexandria via LeMat-Bulk.

a b c (Å): 8.871 8.871 5.065
angles (deg): 90.00 90.00 129.89
Element x y z (fractional)
Na1 0.000 0.500 0.500
Na2 0.171 0.829 0.000
Na3 0.306 0.306 0.500
Na4 0.500 0.000 0.500
Na5 0.694 0.694 0.500
Na6 0.829 0.171 0.000
Te1 0.360 0.640 0.000
Te2 0.640 0.360 0.000
Br1 0.110 0.890 0.500
Br2 0.890 0.110 0.500

volume: 305.8 Å³/cell
magnetization: 0.000 μB per cell
offset from the most stable computed form: 0 meV/atom
crystal system: orthorhombic


4.
The following is a GGA-PBE calculation of crystalline Tm2CdRu at its relaxed geometry, from Alexandria via LeMat-Bulk.

a b c (Å): 3.417 3.417 7.587
angles (deg): 90.00 90.00 90.00
Element x y z (fractional)
Tm1 0.000 0.000 0.215
Tm2 0.000 0.000 0.785
Cd1 0.500 0.500 0.500
Ru1 0.500 0.500 0.000

volume: 88.6 Å³/cell
N(E_F): 2.9 states/eV/f.u.
DFT formation energy: -464 meV per atom
magnetization: 0.000 μB per cell
offset from the most stable computed form: 0 meV/atom
crystal system: tetragonal